First-principles (PBE-GGA) data for TlFe2Ir after structural relaxation, as listed in Alexandria.

```
4
Lattice="4.525 -1.477 0.000 4.525 1.477 0.000 -1.219 0.000 4.615" Properties=species:S:1:pos:R:3 pbc="T T T"
Tl 0.000 0.000 0.000
Fe 1.232 0.000 3.368
Fe 4.001 0.000 2.355
Ir 6.587 0.000 1.374
```

## Properties
symmetry: Cm, No. 8
excess energy over the best structure of this formula in the dataset: 36 meV/atom
VASP energy: -26.7 eV for the cell shown
volume: 15.426 A^3/atom
formation enthalpy at 0 K: 0.37 eV/atom

***

First-principles (PBE-GGA) data for CePrLu after structural relaxation, as listed in Alexandria.

```
3
Lattice="3.535 0.000 0.000 -1.768 3.062 0.000 0.000 0.000 8.716" Properties=species:S:1:pos:R:3 pbc="T T T"
Ce 0.000 0.000 0.000
Pr 1.768 1.021 2.945
Lu 0.000 2.041 5.924
```

## Properties
symmetry: P3m1, No. 156
excess energy over the best structure of this formula in the dataset: 0 meV/atom
VASP energy: -15.0 eV for the cell shown
volume: 31.444 A^3/atom
formation enthalpy at 0 K: 0.08 eV/atom

***

Question: The highest excess energy over the best structure of this formula in the dataset belongs to which entry?
Answer: TlFe2Ir